Here is a geometry-optimized Er3Tl4CrTe8 structure from Alexandria via LeMat-Bulk. Energies are from PBE.

## Properties
DOS at the Fermi energy ... 2.10 states/eV/cell
Formation energy without anion corrections ... -78 kJ per mole of atoms
Total magnetization ... 3.113 μB/f.u.

```
Er3Tl4CrTe8
1.0
8.706 0.000 0.000
0.000 9.528 0.578
-4.353 -4.356 6.155
Er Tl Cr Te
3 4 1 8
direct
0.500 0.500 0.000
0.500 0.500 0.500
0.000 0.500 0.500
0.500 0.000 0.000
0.500 0.000 0.500
0.000 0.000 0.000
0.000 0.000 0.500
0.000 0.500 0.000
0.224 0.702 0.978
0.225 0.703 0.449
0.262 0.285 0.523
0.754 0.702 0.978
0.246 0.298 0.022
0.738 0.715 0.477
0.775 0.297 0.551
0.776 0.298 0.022
```